# 1
KMgFeRe: relaxed, PBE.

Calculated values
Density: 6.27 Mg/m³
E above lowest polymorph: 309 meV/atom
Total magnetization: 5.340 μB/f.u.

Cell: 4.8550 4.8550 4.8550 Å, 60.00 60.00 60.00°
Closest atoms and distances in Å follow each position.
Atoms (fractional coordinates):
Fe: 0.0000 0.0000 0.0000  4 Mg 2.97, 4 K 2.97
K: 0.2500 0.2500 0.2500  4 Re 2.97, 4 Fe 2.97
Mg: 0.7500 0.7500 0.7500  4 Fe 2.97, 4 Re 2.97
Re: 0.5000 0.5000 0.5000  4 K 2.97, 4 Mg 2.97

# 2
KMgFeSe3: relaxed, PBE.

Calculated values
Density: 3.86 Mg/m³
E above lowest polymorph: 73 meV/atom
Total magnetization: 3.932 μB/f.u.

Cell: 7.8240 7.8240 10.3134 Å, 90.00 90.00 150.93°
Closest atoms and distances in Å follow each position.
Atoms (fractional coordinates):
Fe: 0.0000 0.0000 0.0000  6 Se 2.64-2.80
Fe: 0.0000 0.0000 0.5000  6 Se 2.64-2.80
K: 0.7471 0.2529 0.2500  8 Se 3.30-3.62
K: 0.2529 0.7471 0.7500  8 Se 3.30-3.62
Mg: 0.4704 0.5296 0.2500  4 Se 2.50-2.52
Mg: 0.5296 0.4704 0.7500  4 Se 2.50-2.52
Se: 0.3867 0.6133 0.0387  1 Mg 2.52, 2 Fe 2.64
Se: 0.0720 0.9280 0.2500  2 Mg 2.50
Se: 0.3867 0.6133 0.4613  1 Mg 2.52, 2 Fe 2.64
Se: 0.6133 0.3867 0.5387  1 Mg 2.52, 2 Fe 2.64
Se: 0.9280 0.0720 0.7500  2 Mg 2.50
Se: 0.6133 0.3867 0.9613  1 Mg 2.52, 2 Fe 2.64

# 3
KMgFeSe3: relaxed, PBE.

Calculated values
Density: 3.81 Mg/m³
E above lowest polymorph: 0 meV/atom
Total magnetization: 3.783 μB/f.u.

Cell: 8.7535 3.9987 9.7051 Å, 90.00 113.83 90.00°
Closest atoms and distances in Å follow each position.
Atoms (fractional coordinates):
Fe: 0.1002 0.7500 0.1127  4 Se 2.32-2.44
Fe: 0.8998 0.2500 0.8873  4 Se 2.32-2.44
K: 0.7722 0.2500 0.2551  7 Se 3.24-3.51
K: 0.2278 0.7500 0.7449  7 Se 3.24-3.51
Mg: 0.3493 0.2500 0.3787  5 Se 2.63-2.83
Mg: 0.6507 0.7500 0.6213  5 Se 2.63-2.83
Se: 0.2004 0.2500 0.0310  3 Fe 2.43-2.44
Se: 0.5205 0.7500 0.3249  3 Mg 2.63-2.67
Se: 0.1113 0.7500 0.3551  1 Fe 2.32
Se: 0.8887 0.2500 0.6449  1 Fe 2.32
Se: 0.4795 0.2500 0.6751  3 Mg 2.63-2.67
Se: 0.7996 0.7500 0.9690  3 Fe 2.43-2.44

# 4
KMgFeTe3: relaxed, PBE.

Calculated values
Density: 4.59 Mg/m³
E above lowest polymorph: 84 meV/atom
Total magnetization: 3.621 μB/f.u.

Cell: 8.2538 8.2538 10.8740 Å, 90.00 90.00 150.61°
Closest atoms and distances in Å follow each position.
Atoms (fractional coordinates):
Fe: 0.5000 0.5000 0.0000  6 Te 2.85-2.97
Fe: 0.5000 0.5000 0.5000  6 Te 2.85-2.97
K: 0.2535 0.7465 0.2500  8 Te 3.53-3.76
K: 0.7465 0.2535 0.7500  8 Te 3.53-3.76
Mg: 0.9660 0.0340 0.2500  4 Te 2.73
Mg: 0.0340 0.9660 0.7500  4 Te 2.73
Te: 0.8810 0.1190 0.0320  1 Mg 2.73, 2 Fe 2.85
Te: 0.5752 0.4248 0.2500  2 Mg 2.73, 2 Fe 2.97
Te: 0.8810 0.1190 0.4680  1 Mg 2.73, 2 Fe 2.85
Te: 0.1190 0.8810 0.5320  1 Mg 2.73, 2 Fe 2.85
Te: 0.4248 0.5752 0.7500  2 Mg 2.73, 2 Fe 2.97
Te: 0.1190 0.8810 0.9680  1 Mg 2.73, 2 Fe 2.85

# 5
KMgFeTe3: relaxed, PBE.

Calculated values
Density: 4.57 Mg/m³
E above lowest polymorph: 0 meV/atom
Total magnetization: 2.490 μB/f.u.

Cell: 9.1477 4.3406 10.0641 Å, 90.00 114.03 90.00°
Closest atoms and distances in Å follow each position.
Atoms (fractional coordinates):
Fe: 0.5167 0.7500 0.3686  5 Te 2.58-2.74
Fe: 0.4833 0.2500 0.6314  5 Te 2.58-2.74
K: 0.0101 0.2500 0.2564  7 Te 3.54-3.71
K: 0.9899 0.7500 0.7436  7 Te 3.54-3.71
Mg: 0.4437 0.2500 0.1212  5 Te 2.91-2.96, 2 Fe 3.16
Mg: 0.5563 0.7500 0.8788  5 Te 2.91-2.96, 2 Fe 3.16
Te: 0.2385 0.7500 0.1360  1 Fe 2.67, 2 Mg 2.91
Te: 0.6842 0.7500 0.1971  1 Fe 2.74, 3 Mg 2.93-2.96
Te: 0.6660 0.2500 0.4930  3 Fe 2.58-2.60
Te: 0.3340 0.7500 0.5070  3 Fe 2.58-2.60
Te: 0.3158 0.2500 0.8029  1 Fe 2.74, 3 Mg 2.93-2.96
Te: 0.7615 0.2500 0.8640  1 Fe 2.67, 2 Mg 2.91

# 6
K2FeMoN4: relaxed, PBE.

Calculated values
Raw total energy: -7.038 eV/atom
Density: 3.62 Mg/m³
Total magnetization: 0.346 μB/f.u.

Cell: 5.7204 5.7204 5.7204 Å, 120.57 120.57 89.02°
Closest atoms and distances in Å follow each position.
Atoms (fractional coordinates):
Fe: 0.0000 0.0000 0.0000  4 N 1.76
K: 0.5000 0.5000 0.0000  4 N 2.92
K: 0.7500 0.2500 0.5000  4 N 2.91
Mo: 0.2500 0.7500 0.5000  4 N 1.88
N: 0.1226 0.7924 0.1543  1 Fe 1.76, 1 Mo 1.88
N: 0.2076 0.3619 0.3302  1 Fe 1.76, 1 Mo 1.88
N: 0.0317 0.8774 0.6698  1 Fe 1.76, 1 Mo 1.88
N: 0.6381 0.9683 0.8457  1 Fe 1.76, 1 Mo 1.88